# AlZn2Cu (PBE, optimized geometry)
data_AlZn2Cu
_chemical_formula_sum 'Al1 Zn2 Cu1'
_cell_length_a 4.333
_cell_length_b 4.333
_cell_length_c 4.333
_cell_angle_alpha 60.00
_cell_angle_beta 60.00
_cell_angle_gamma 60.00
_space_group_name_H-M_alt 'P 1'
_space_group_IT_number 1
loop_
_space_group_symop_operation_xyz
'x,y,z'
loop_
_atom_site_label
_atom_site_fract_x
_atom_site_fract_y
_atom_site_fract_z
_atom_site_occupancy
Al1 0.000 0.000 0.000 1
Zn1 0.500 0.500 0.500 1
Zn2 0.750 0.750 0.750 1
Cu1 0.250 0.250 0.250 1
# **Mass density**: 6.39 g/cm3
# **Energy of formation**: 0.04 eV per atom
# **Space-group type**: F-43m (216)
# **Crystal system**: cubic
# **Total DFT energy (no corrections)**: -2.560 eV per atom



# Dy2P4Ir3Rh (PBE, optimized geometry)
data_Dy2P4Ir3Rh
_chemical_formula_sum 'Dy2 P4 Ir3 Rh1'
_cell_length_a 4.140
_cell_length_b 4.140
_cell_length_c 9.501
_cell_angle_alpha 90.00
_cell_angle_beta 90.00
_cell_angle_gamma 90.00
_space_group_name_H-M_alt 'P 1'
_space_group_IT_number 1
loop_
_space_group_symop_operation_xyz
'x,y,z'
loop_
_atom_site_label
_atom_site_fract_x
_atom_site_fract_y
_atom_site_fract_z
_atom_site_occupancy
Dy1 0.000 0.500 0.242 1
Dy2 0.500 0.000 0.758 1
P1 0.000 0.000 0.000 1
P2 0.000 0.500 0.640 1
P3 0.500 0.000 0.360 1
P4 0.500 0.500 0.000 1
Ir1 0.000 0.500 0.885 1
Ir2 0.500 0.000 0.115 1
Ir3 0.500 0.500 0.500 1
Rh1 0.000 0.000 0.500 1
# **Mass density**: 11.51 g/cm3
# **Energy of formation**: -1.02 eV per atom
# **Space-group type**: P-4m2 (115)
# **Crystal system**: tetragonal
# **Total DFT energy (no corrections)**: -7.497 eV per atom



# PuCdIn3 (PBE, optimized geometry)
data_PuCdIn3
_chemical_formula_sum 'Pu2 Cd2 In6'
_cell_length_a 10.834
_cell_length_b 10.834
_cell_length_c 4.873
_cell_angle_alpha 90.00
_cell_angle_beta 90.00
_cell_angle_gamma 153.21
_space_group_name_H-M_alt 'P 1'
_space_group_IT_number 1
loop_
_space_group_symop_operation_xyz
'x,y,z'
loop_
_atom_site_label
_atom_site_fract_x
_atom_site_fract_y
_atom_site_fract_z
_atom_site_occupancy
Pu1 0.151 0.849 0.750 1
Pu2 0.849 0.151 0.250 1
Cd1 0.344 0.656 0.750 1
Cd2 0.656 0.344 0.250 1
In1 0.046 0.954 0.250 1
In2 0.251 0.749 0.250 1
In3 0.444 0.556 0.250 1
In4 0.556 0.444 0.750 1
In5 0.749 0.251 0.750 1
In6 0.954 0.046 0.750 1
# **Mass density**: 9.03 g/cm3
# **Energy of formation**: -0.06 eV per atom
# **Space-group type**: Cmcm (63)
# **Crystal system**: orthorhombic
# **Total DFT energy (no corrections)**: -4.748 eV per atom



# RbInBi (PBE, optimized geometry)
data_RbInBi
_chemical_formula_sum 'Rb1 In1 Bi1'
_cell_length_a 7.881
_cell_length_b 7.881
_cell_length_c 7.881
_cell_angle_alpha 151.44
_cell_angle_beta 151.44
_cell_angle_gamma 40.83
_space_group_name_H-M_alt 'P 1'
_space_group_IT_number 1
loop_
_space_group_symop_operation_xyz
'x,y,z'
loop_
_atom_site_label
_atom_site_fract_x
_atom_site_fract_y
_atom_site_fract_z
_atom_site_occupancy
Rb1 0.000 0.000 0.000 1
In1 0.689 0.689 0.000 1
Bi1 0.311 0.311 0.000 1
# **Mass density**: 6.09 g/cm3
# **Energy of formation**: -0.17 eV per atom
# **Space-group type**: I4mm (107)
# **Crystal system**: tetragonal
# **Total DFT energy (no corrections)**: -2.702 eV per atom



# LiAsHOs (PBE, optimized geometry)
data_LiAsHOs
_chemical_formula_sum 'Li1 As1 H1 Os1'
_cell_length_a 2.948
_cell_length_b 4.533
_cell_length_c 4.800
_cell_angle_alpha 75.29
_cell_angle_beta 89.91
_cell_angle_gamma 71.04
_space_group_name_H-M_alt 'P 1'
_space_group_IT_number 1
loop_
_space_group_symop_operation_xyz
'x,y,z'
loop_
_atom_site_label
_atom_site_fract_x
_atom_site_fract_y
_atom_site_fract_z
_atom_site_occupancy
Li1 0.000 0.000 0.000 1
As1 0.788 0.419 0.435 1
H1 0.111 0.772 0.695 1
Os1 0.517 0.962 0.495 1
# **Mass density**: 7.76 g/cm3
# **Space-group type**: P1 (1)
# **Crystal system**: triclinic
# **Total DFT energy (no corrections)**: -5.318 eV per atom



# Y2Ag2Pt (PBE, optimized geometry)
data_Y2Ag2Pt
_chemical_formula_sum 'Y4 Ag4 Pt2'
_cell_length_a 7.662
_cell_length_b 7.662
_cell_length_c 7.662
_cell_angle_alpha 129.18
_cell_angle_beta 68.85
_cell_angle_gamma 136.80
_space_group_name_H-M_alt 'P 1'
_space_group_IT_number 1
loop_
_space_group_symop_operation_xyz
'x,y,z'
loop_
_atom_site_label
_atom_site_fract_x
_atom_site_fract_y
_atom_site_fract_z
_atom_site_occupancy
Y1 0.162 0.207 0.368 1
Y2 0.338 0.707 0.045 1
Y3 0.662 0.293 0.955 1
Y4 0.838 0.793 0.632 1
Ag1 0.090 0.648 0.739 1
Ag2 0.410 0.148 0.558 1
Ag3 0.590 0.852 0.442 1
Ag4 0.910 0.352 0.261 1
Pt1 0.250 0.250 0.000 1
Pt2 0.750 0.750 0.000 1
# **Mass density**: 8.34 g/cm3
# **Energy of formation**: -0.47 eV per atom
# **Space-group type**: Ibam (72)
# **Crystal system**: orthorhombic
# **Total DFT energy (no corrections)**: -5.406 eV per atom